# La2YAg6 | the Alexandria database | GGA-PBE | optimized geometry
data_La2YAg6
_space_group_name_H-M_alt 'P 1'
_space_group_IT_number 1
_space_group_name_Hall 'P 1'
_cell_length_a 8.357
_cell_length_b 8.357
_cell_length_c 3.594
_cell_angle_alpha 90.00
_cell_angle_beta 90.00
_cell_angle_gamma 120.00
loop_
_atom_site_label
_atom_site_fract_x
_atom_site_fract_y
_atom_site_fract_z
La1 0.333 0.667 0.000
La2 0.667 0.333 0.000
Y1 0.000 0.000 0.000
Ag1 0.000 0.330 0.500
Ag2 0.000 0.670 0.500
Ag3 0.330 0.000 0.500
Ag4 0.330 0.330 0.500
Ag5 0.670 0.000 0.500
Ag6 0.670 0.670 0.500
# Calculated density   7.7 Mg/m³
# VASP energy   -3.98 eV per atom
# Formation energy from the elements   -2.407 eV/f.u.
# M_tot   0.000 μB per formula unit

=====

# Mn2FeAu | the Alexandria database | GGA-PBE | optimized geometry
data_Mn2FeAu
_space_group_name_H-M_alt 'P 1'
_space_group_IT_number 1
_space_group_name_Hall 'P 1'
_cell_length_a 4.343
_cell_length_b 4.343
_cell_length_c 4.343
_cell_angle_alpha 60.00
_cell_angle_beta 60.00
_cell_angle_gamma 60.00
loop_
_atom_site_label
_atom_site_fract_x
_atom_site_fract_y
_atom_site_fract_z
Mn1 0.000 0.000 0.000
Mn2 0.250 0.250 0.250
Fe1 0.500 0.500 0.500
Au1 0.750 0.750 0.750
# Calculated density   10.4 Mg/m³
# Energy relative to the lowest polymorph listed for this composition   177.7 meV/atom
# VASP energy   -7.20 eV per atom
# Formation energy from the elements   1.273 eV/f.u.
# M_tot   9.872 μB per formula unit

=====

# KMoPd3 | the Alexandria database | GGA-PBE | optimized geometry
data_KMoPd3
_space_group_name_H-M_alt 'P 1'
_space_group_IT_number 1
_space_group_name_Hall 'P 1'
_cell_length_a 4.932
_cell_length_b 4.932
_cell_length_c 4.932
_cell_angle_alpha 90.00
_cell_angle_beta 90.00
_cell_angle_gamma 90.00
loop_
_atom_site_label
_atom_site_fract_x
_atom_site_fract_y
_atom_site_fract_z
K1 0.000 0.000 0.000
Mo1 0.500 0.500 0.500
Pd1 0.000 0.500 0.500
Pd2 0.500 0.000 0.500
Pd3 0.500 0.500 0.000
# Calculated density   6.3 Mg/m³
# VASP energy   -4.78 eV per atom
# Formation energy from the elements   3.587 eV/f.u.
# M_tot   0.000 μB per formula unit

=====

# Zr4TcOs | the Alexandria database | GGA-PBE | optimized geometry
data_Zr4TcOs
_space_group_name_H-M_alt 'P 1'
_space_group_IT_number 1
_space_group_name_Hall 'P 1'
_cell_length_a 3.319
_cell_length_b 3.319
_cell_length_c 10.597
_cell_angle_alpha 90.00
_cell_angle_beta 90.00
_cell_angle_gamma 90.00
loop_
_atom_site_label
_atom_site_fract_x
_atom_site_fract_y
_atom_site_fract_z
Zr1 0.000 0.000 0.150
Zr2 0.000 0.000 0.850
Zr3 0.500 0.500 0.348
Zr4 0.500 0.500 0.652
Tc1 0.500 0.500 0.000
Os1 0.000 0.000 0.500
# Calculated density   9.3 Mg/m³
# Energy relative to the lowest polymorph listed for this composition   0.0 meV/atom
# VASP energy   -9.59 eV per atom
# Formation energy from the elements   -1.737 eV/f.u.
# M_tot   0.000 μB per formula unit

=====

# Ho8Ag2Os | the Alexandria database | GGA-PBE | optimized geometry
data_Ho8Ag2Os
_space_group_name_H-M_alt 'P 1'
_space_group_IT_number 1
_space_group_name_Hall 'P 1'
_cell_length_a 9.036
_cell_length_b 9.036
_cell_length_c 6.839
_cell_angle_alpha 107.39
_cell_angle_beta 107.39
_cell_angle_gamma 33.29
loop_
_atom_site_label
_atom_site_fract_x
_atom_site_fract_y
_atom_site_fract_z
Ho1 0.027 0.027 0.296
Ho2 0.198 0.198 0.804
Ho3 0.340 0.340 0.533
Ho4 0.409 0.409 0.070
Ho5 0.591 0.591 0.930
Ho6 0.660 0.660 0.467
Ho7 0.802 0.802 0.196
Ho8 0.973 0.973 0.704
Ag1 0.183 0.183 0.211
Ag2 0.817 0.817 0.789
Os1 0.500 0.500 0.500
# Calculated density   9.8 Mg/m³
# Energy relative to the lowest polymorph listed for this composition   0.0 meV/atom
# VASP energy   -5.06 eV per atom
# Formation energy from the elements   -2.053 eV/f.u.
# M_tot   0.000 μB per formula unit

=====

# Ba2PdRhBr | the Alexandria database | GGA-PBE | optimized geometry
data_Ba2PdRhBr
_space_group_name_H-M_alt 'P 1'
_space_group_IT_number 1
_space_group_name_Hall 'P 1'
_cell_length_a 6.070
_cell_length_b 6.070
_cell_length_c 4.832
_cell_angle_alpha 90.00
_cell_angle_beta 90.00
_cell_angle_gamma 90.00
loop_
_atom_site_label
_atom_site_fract_x
_atom_site_fract_y
_atom_site_fract_z
Ba1 0.000 0.500 0.000
Ba2 0.500 0.000 0.000
Pd1 0.000 0.000 0.000
Rh1 0.500 0.500 0.500
Br1 0.000 0.000 0.500
# Calculated density   5.3 Mg/m³
# Energy relative to the elements, uncorrected   -0.049 eV/atom
# Energy relative to the lowest polymorph listed for this composition   398.6 meV/atom
# VASP energy   -3.66 eV per atom
# M_tot   0.456 μB per formula unit

=====

# Cs2NbPb2S6 | the Alexandria database | GGA-PBE | optimized geometry
data_Cs2NbPb2S6
_space_group_name_H-M_alt 'P 1'
_space_group_IT_number 1
_space_group_name_Hall 'P 1'
_cell_length_a 6.956
_cell_length_b 6.956
_cell_length_c 8.504
_cell_angle_alpha 98.67
_cell_angle_beta 98.67
_cell_angle_gamma 119.21
loop_
_atom_site_label
_atom_site_fract_x
_atom_site_fract_y
_atom_site_fract_z
Cs1 0.174 0.826 0.000
Cs2 0.826 0.174 0.000
Nb1 0.000 0.000 0.500
Pb1 0.332 0.668 0.500
Pb2 0.668 0.332 0.500
S1 0.065 0.358 0.679
S2 0.227 0.227 0.324
S3 0.358 0.065 0.679
S4 0.642 0.935 0.321
S5 0.773 0.773 0.676
S6 0.935 0.642 0.321
# Calculated density   4.7 Mg/m³
# Energy relative to the elements, uncorrected   -0.818 eV/atom
# VASP energy   -4.81 eV per atom
# M_tot   0.000 μB per formula unit

=====

# VGaCoNi | the Alexandria database | GGA-PBE | optimized geometry
data_VGaCoNi
_space_group_name_H-M_alt 'P 1'
_space_group_IT_number 1
_space_group_name_Hall 'P 1'
_cell_length_a 4.089
_cell_length_b 4.089
_cell_length_c 4.089
_cell_angle_alpha 60.00
_cell_angle_beta 60.00
_cell_angle_gamma 60.00
loop_
_atom_site_label
_atom_site_fract_x
_atom_site_fract_y
_atom_site_fract_z
V1 0.000 0.000 0.000
Ga1 0.500 0.500 0.500
Co1 0.250 0.250 0.250
Ni1 0.750 0.750 0.750
# Calculated density   8.2 Mg/m³
# Energy relative to the lowest polymorph listed for this composition   21.4 meV/atom
# VASP energy   -6.52 eV per atom
# Formation energy from the elements   -1.054 eV/f.u.
# M_tot   1.115 μB per formula unit

=====

# CeSmAu | the Alexandria database | GGA-PBE | optimized geometry
data_CeSmAu
_space_group_name_H-M_alt 'P 1'
_space_group_IT_number 1
_space_group_name_Hall 'P 1'
_cell_length_a 4.931
_cell_length_b 4.931
_cell_length_c 3.698
_cell_angle_alpha 90.00
_cell_angle_beta 90.00
_cell_angle_gamma 120.00
loop_
_atom_site_label
_atom_site_fract_x
_atom_site_fract_y
_atom_site_fract_z
Ce1 0.000 0.000 0.000
Sm1 0.667 0.333 0.629
Au1 0.333 0.667 0.316
# Calculated density   10.4 Mg/m³
# Energy relative to the lowest polymorph listed for this composition   191.1 meV/atom
# VASP energy   -4.93 eV per atom
# Formation energy from the elements   -0.860 eV/f.u.
# M_tot   0.580 μB per formula unit

=====

# EuTh2Cu | the Alexandria database | GGA-PBE | optimized geometry
data_EuTh2Cu
_space_group_name_H-M_alt 'P 1'
_space_group_IT_number 1
_space_group_name_Hall 'P 1'
_cell_length_a 3.630
_cell_length_b 3.630
_cell_length_c 8.912
_cell_angle_alpha 90.00
_cell_angle_beta 90.00
_cell_angle_gamma 90.00
loop_
_atom_site_label
_atom_site_fract_x
_atom_site_fract_y
_atom_site_fract_z
Eu1 0.000 0.000 0.000
Th1 0.500 0.500 0.313
Th2 0.500 0.500 0.687
Cu1 0.000 0.000 0.500
# Calculated density   9.6 Mg/m³
# Energy relative to the lowest polymorph listed for this composition   0.0 meV/atom
# VASP energy   -7.20 eV per atom
# Formation energy from the elements   0.405 eV/f.u.
# M_tot   7.796 μB per formula unit

=====

# AcPaRe4 | the Alexandria database | GGA-PBE | optimized geometry
data_AcPaRe4
_space_group_name_H-M_alt 'P 1'
_space_group_IT_number 1
_space_group_name_Hall 'P 1'
_cell_length_a 5.518
_cell_length_b 5.518
_cell_length_c 5.518
_cell_angle_alpha 60.00
_cell_angle_beta 60.00
_cell_angle_gamma 60.00
loop_
_atom_site_label
_atom_site_fract_x
_atom_site_fract_y
_atom_site_fract_z
Ac1 0.000 0.000 0.000
Pa1 0.250 0.250 0.250
Re1 0.126 0.625 0.625
Re2 0.625 0.126 0.625
Re3 0.625 0.625 0.126
Re4 0.625 0.625 0.625
# Calculated density   16.8 Mg/m³
# VASP energy   -10.38 eV per atom
# Formation energy from the elements   1.123 eV/f.u.
# M_tot   0.000 μB per formula unit

=====

# P2N | the Alexandria database | GGA-PBE | optimized geometry
data_P2N
_space_group_name_H-M_alt 'P 1'
_space_group_IT_number 1
_space_group_name_Hall 'P 1'
_cell_length_a 3.509
_cell_length_b 3.553
_cell_length_c 4.441
_cell_angle_alpha 67.12
_cell_angle_beta 67.43
_cell_angle_gamma 82.25
loop_
_atom_site_label
_atom_site_fract_x
_atom_site_fract_y
_atom_site_fract_z
P1 0.176 0.175 0.085
P2 0.824 0.825 0.915
N1 0.000 0.000 0.500
# Calculated density   2.7 Mg/m³
# Energy relative to the elements, uncorrected   0.179 eV/atom
# Energy relative to the lowest polymorph listed for this composition   109.9 meV/atom
# VASP energy   -6.20 eV per atom
# M_tot   0.000 μB per formula unit

=====

Q: Look up the M_tot of the fifth one.
A: 0.000 μB per formula unit